1.
{
  "formula": "Ce2PrErBi4",
  "functional": "PBE-GGA",
  "state": "optimized geometry",
  "lattice_angstrom": [[-0.133, 4.568, 0.140], [-6.442, -0.329, 4.617], [2.209, -0.169, 7.600]],
  "species": ["Ce", "Ce", "Pr", "Er", "Bi", "Bi", "Bi", "Bi"],
  "fractional_positions": [[0.000, 0.000, 0.000], [0.500, 0.000, 0.500], [0.500, 0.500, 0.000], [0.000, 0.500, 0.500], [0.000, 0.750, 0.744], [0.000, 0.250, 0.256], [0.500, 0.745, 0.258], [0.500, 0.255, 0.742]],
  "n_ef_per_ev_atom": 1.85,
  "vol_a3_per_cell": 270.7,
  "sg": "P2/m, No. 10",
  "formation_energy_mev_per_atom": -834
}



2.
{
  "formula": "CeEr2PuBi4",
  "functional": "PBE-GGA",
  "state": "optimized geometry",
  "lattice_angstrom": [[-3.328, 0.626, 2.986], [-0.560, -7.727, 0.995], [4.760, -2.238, 5.774]],
  "species": ["Ce", "Er", "Er", "Pu", "Bi", "Bi", "Bi", "Bi"],
  "fractional_positions": [[0.000, 0.500, 0.500], [0.000, 0.000, 0.000], [0.500, 0.000, 0.500], [0.500, 0.500, 0.000], [0.000, 0.756, 0.749], [0.000, 0.244, 0.251], [0.500, 0.757, 0.247], [0.500, 0.243, 0.753]],
  "n_ef_per_ev_atom": 2.64,
  "vol_a3_per_cell": 259.6,
  "sg": "P2/m, No. 10",
  "formation_energy_mev_per_atom": -690
}



3.
{
  "formula": "Ce2ErScBi5",
  "functional": "PBE-GGA",
  "state": "optimized geometry",
  "lattice_angstrom": [[-2.980, 1.399, 4.372], [0.301, -5.142, 1.850], [9.599, 2.616, 5.707]],
  "species": ["Ce", "Ce", "Er", "Sc", "Bi", "Bi", "Bi", "Bi", "Bi"],
  "fractional_positions": [[0.500, 0.500, 0.289], [0.500, 0.500, 0.711], [0.000, 0.000, 0.500], [0.000, 0.000, 0.000], [0.000, 0.500, 0.500], [0.500, 0.000, 0.500], [0.000, 0.000, 0.760], [0.000, 0.000, 0.240], [0.500, 0.500, 0.000]],
  "n_ef_per_ev_atom": 2.05,
  "vol_a3_per_cell": 343.5,
  "sg": "P4/mmm, No. 123",
  "formation_energy_mev_per_atom": -73
}



Repeat the second record exactly.
{
  "formula": "CeEr2PuBi4",
  "functional": "PBE-GGA",
  "state": "optimized geometry",
  "lattice_angstrom": [[-3.328, 0.626, 2.986], [-0.560, -7.727, 0.995], [4.760, -2.238, 5.774]],
  "species": ["Ce", "Er", "Er", "Pu", "Bi", "Bi", "Bi", "Bi"],
  "fractional_positions": [[0.000, 0.500, 0.500], [0.000, 0.000, 0.000], [0.500, 0.000, 0.500], [0.500, 0.500, 0.000], [0.000, 0.756, 0.749], [0.000, 0.244, 0.251], [0.500, 0.757, 0.247], [0.500, 0.243, 0.753]],
  "n_ef_per_ev_atom": 2.64,
  "vol_a3_per_cell": 259.6,
  "sg": "P2/m, No. 10",
  "formation_energy_mev_per_atom": -690
}